{
  "formula": "LiZrCr2Tc",
  "functional": "PBE",
  "state": "relaxed",
  "lattice_angstrom": [[-1.812, -2.267, 3.599], [4.374, -1.358, 1.347], [0.384, 3.808, 2.593]],
  "species": ["Cr", "Cr", "Li", "Tc", "Zr"],
  "frac_coords": [[0.500, 0.000, 0.000], [0.000, 0.000, 0.500], [0.500, 0.500, 0.500], [0.000, 0.500, 0.000], [0.000, 0.000, 0.000]],
  "n_ef_per_ev_atom": 1.794,
  "sg": "No. 123",
  "delta_e_f_mev_per_atom": 1928,
  "total_energy_ev_per_cell": -30.43
}

---

{
  "formula": "Sr2PtSe",
  "functional": "PBE",
  "state": "relaxed",
  "lattice_angstrom": [[6.140, 0.002, 0.003], [4.811, 3.815, 0.003], [-0.003, -0.001, 4.786]],
  "species": ["Pt", "Sr", "Sr", "Se"],
  "frac_coords": [[0.478, 0.478, 0.625], [0.004, 0.004, 0.125], [0.744, 0.744, 0.625], [0.274, 0.274, 0.125]],
  "sg": "No. 38",
  "total_energy_ev_per_cell": -18.00
}

---

{
  "formula": "LiCr2Ru",
  "functional": "PBE",
  "state": "relaxed",
  "lattice_angstrom": [[4.228, 0.000, 0.000], [0.000, 2.494, -0.002], [0.000, 0.952, 4.633]],
  "species": ["Li", "Cr", "Cr", "Ru"],
  "frac_coords": [[0.500, 0.250, 0.250], [0.000, 0.003, 0.004], [0.000, 0.497, 0.496], [0.500, 0.750, 0.750]],
  "n_ef_per_ev_atom": 1.094,
  "sg": "No. 10",
  "delta_e_f_mev_per_atom": 310,
  "total_energy_ev_per_cell": -29.20
}